# LiAcSmZn | Alexandria | PBE | relaxed
data_LiAcSmZn
_chemical_formula_sum 'Li1 Ac1 Sm1 Zn1'
_cell_length_a 5.418
_cell_length_b 5.418
_cell_length_c 5.418
_cell_angle_alpha 60.00
_cell_angle_beta 60.00
_cell_angle_gamma 60.00
_space_group_name_H-M_alt 'P 1'
_space_group_IT_number 1
loop_
_space_group_symop_operation_xyz
'x,y,z'
loop_
_atom_site_label
_atom_site_fract_x
_atom_site_fract_y
_atom_site_fract_z
Sm1 0.750 0.750 0.750
Li1 0.500 0.500 0.500
Zn1 0.000 0.000 0.000
Ac1 0.250 0.250 0.250
# Final energy, eV per atom: -3.07
# Fermi-level density of states, states/eV per atom: 1.4869
# SG: No. 216
# Mass density, g cm⁻³: 6.6